(1)
Crystalline K2Zr2Cu at its relaxed geometry, computed with GGA-PBE.

The symmetry is I4/mmm, No. 139. The value obtained for the formation energy is 1.13 eV/atom. The energy comes out at -3.552 eV per atom.

Lattice parameters (Å, degrees): 3.9589 3.9589 9.3195 77.74 77.74 90.00
Sites, in units of the cell vectors:
Zr (0.5703, 0.5703, 0.8595)
Zr (0.4297, 0.4297, 0.1405)
K (0.7500, 0.2500, 0.5000)
K (0.2500, 0.7500, 0.5000)
Cu (0.0000, 0.0000, 0.0000)

***

(2)
Crystalline AsRh2W at its relaxed geometry, computed with GGA-PBE.

The symmetry is Pmmm, No. 47. The value obtained for the formation energy is -0.11 eV/atom. The energy comes out at -8.191 eV per atom.

Lattice parameters (Å, degrees): 2.8752 3.8749 5.3951 90.00 90.00 90.00
Sites, in units of the cell vectors:
Rh (0.0000, 0.0000, 0.0058)
Rh (0.0000, 0.0000, 0.4942)
W (0.5000, 0.5000, 0.2500)
As (0.5000, 0.5000, 0.7500)

***

(3)
Crystalline Tb2ErIn2 at its relaxed geometry, computed with GGA-PBE.

The symmetry is P2_1/m, No. 11. The value obtained for the formation energy is -0.38 eV/atom. The energy comes out at -4.238 eV per atom.

Lattice parameters (Å, degrees): 3.7377 5.3323 14.0159 90.00 97.68 90.00
Sites, in units of the cell vectors:
Tb (0.0473, 0.7500, 0.0946)
Tb (0.7629, 0.2500, 0.5260)
Tb (0.9527, 0.2500, 0.9054)
Tb (0.2371, 0.7500, 0.4740)
In (0.3576, 0.2500, 0.7139)
In (0.6424, 0.7500, 0.2861)
In (0.5517, 0.2500, 0.1029)
In (0.4483, 0.7500, 0.8971)
Er (0.8508, 0.7500, 0.7004)
Er (0.1492, 0.2500, 0.2996)

***

(4)
Crystalline LaSb12Ru4 at its relaxed geometry, computed with GGA-PBE.

For the uncorrected formation energy, the calculation gives -0.365 eV per atom. The symmetry is Im-3, No. 204. The energy comes out at -5.747 eV per atom.

Lattice parameters (Å, degrees): 8.1298 8.1298 8.1298 109.47 109.47 109.47
Sites, in units of the cell vectors:
Sb (0.5008, 0.6595, 0.8413)
Sb (0.1818, 0.3405, 0.8413)
Sb (0.8413, 0.1818, 0.3405)
Sb (0.8182, 0.6595, 0.1587)
Sb (0.1587, 0.4992, 0.3405)
Sb (0.8413, 0.5008, 0.6595)
Sb (0.3405, 0.8413, 0.1818)
Sb (0.6595, 0.1587, 0.8182)
Sb (0.1587, 0.8182, 0.6595)
Sb (0.6595, 0.8413, 0.5008)
Sb (0.3405, 0.1587, 0.4992)
Sb (0.4992, 0.3405, 0.1587)
Ru (0.5000, 0.5000, 0.5000)
Ru (0.0000, 0.5000, 0.0000)
Ru (0.5000, 0.0000, 0.0000)
Ru (0.0000, 0.0000, 0.5000)
La (0.0000, 0.0000, 0.0000)

***

(5)
Crystalline SrNdSi at its relaxed geometry, computed with GGA-PBE.

For the uncorrected formation energy, the calculation gives -0.197 eV per atom. The symmetry is Amm2, No. 38. The energy comes out at -4.155 eV per atom.

Lattice parameters (Å, degrees): 5.0707 3.5874 14.7493 90.00 90.00 134.97
Sites, in units of the cell vectors:
Si (0.6930, 0.3861, 0.0000)
Si (0.1959, 0.3919, 0.5000)
Nd (0.6957, 0.3914, 0.6234)
Nd (0.6957, 0.3914, 0.3766)
Sr (0.1931, 0.3863, 0.1354)
Sr (0.1931, 0.3863, 0.8646)

***

(6)
Crystalline Sr3Ac3MgS8 at its relaxed geometry, computed with GGA-PBE.

For the uncorrected formation energy, the calculation gives -1.967 eV per atom. The symmetry is R-3m, No. 166. The energy comes out at -5.433 eV per atom.

Lattice parameters (Å, degrees): 8.4787 8.4785 8.5330 119.79 90.00 120.00
Sites, in units of the cell vectors:
S (0.2287, 0.9974, 0.7261)
S (0.7713, 0.0026, 0.2739)
S (0.7510, 0.5021, 0.7531)
S (0.7688, 0.9974, 0.7261)
S (0.2286, 0.4572, 0.7261)
S (0.2312, 0.0026, 0.2739)
S (0.7714, 0.5428, 0.2739)
S (0.2490, 0.4979, 0.2469)
Ac (0.5000, 0.5000, 0.5000)
Ac (0.5000, 0.0000, 0.5000)
Ac (0.0000, 0.5000, 0.5000)
Sr (0.0000, 0.5000, 0.0000)
Sr (0.0000, 0.0000, 0.0000)
Sr (0.5000, 0.5000, 0.0000)
Mg (0.0000, 0.0000, 0.5000)

***

(7)
Crystalline Pr8TcNi2 at its relaxed geometry, computed with GGA-PBE.

The symmetry is Cm, No. 8. The value obtained for the formation energy is 0.02 eV/atom. The energy comes out at -5.453 eV per atom.

Lattice parameters (Å, degrees): 6.1133 7.8785 7.8785 116.37 100.64 100.64
Sites, in units of the cell vectors:
Pr (0.1712, 0.3647, 0.3647)
Pr (0.5887, 0.0943, 0.3440)
Pr (0.9983, 0.2105, 0.7917)
Pr (0.8288, 0.6434, 0.6434)
Pr (0.9983, 0.7917, 0.2105)
Pr (0.4065, 0.6604, 0.9115)
Pr (0.4065, 0.9115, 0.6604)
Pr (0.5887, 0.3440, 0.0943)
Tc (0.0142, 0.0068, 0.0068)
Ni (0.4993, 0.7090, 0.2976)
Ni (0.4993, 0.2976, 0.7090)

***

(8)
Crystalline Zr3CoCu2 at its relaxed geometry, computed with GGA-PBE.

The symmetry is Cmmm, No. 65. The value obtained for the formation energy is -0.18 eV/atom. The energy comes out at -7.003 eV per atom.

Lattice parameters (Å, degrees): 3.2142 4.6167 7.2864 108.47 90.00 90.00
Sites, in units of the cell vectors:
Zr (0.5000, 0.5000, 0.0000)
Zr (0.5000, 0.8442, 0.6884)
Zr (0.5000, 0.1558, 0.3116)
Cu (0.0000, 0.6803, 0.3607)
Cu (0.0000, 0.3197, 0.6393)
Co (0.0000, 0.0000, 0.0000)

***

(9)
Crystalline Tm2Ga2Fe15 at its relaxed geometry, computed with GGA-PBE.

The symmetry is R-3m, No. 166. The value obtained for the formation energy is -0.07 eV/atom. The energy comes out at -7.543 eV per atom.

Lattice parameters (Å, degrees): 6.3590 6.3590 6.3590 82.02 82.02 82.02
Each line ends with the local moment (μB).
Sites, in units of the cell vectors:
Fe (0.1605, 0.6586, 0.6586)  1.88
Fe (0.8395, 0.3414, 0.3414)  1.88
Fe (0.3414, 0.8395, 0.3414)  1.88
Fe (0.3078, 0.0000, 0.6922)  2.18
Fe (0.6586, 0.6586, 0.1605)  1.88
Fe (0.0000, 0.3078, 0.6922)  2.18
Fe (0.0000, 0.5000, 0.0000)  1.72
Fe (0.3078, 0.6922, 0.0000)  2.18
Fe (0.6922, 0.0000, 0.3078)  2.18
Fe (0.6922, 0.3078, 0.0000)  2.18
Fe (0.5000, 0.0000, 0.0000)  1.72
Fe (0.0000, 0.0000, 0.5000)  1.72
Fe (0.6586, 0.1605, 0.6586)  1.88
Fe (0.0000, 0.6922, 0.3078)  2.18
Fe (0.3414, 0.3414, 0.8395)  1.88
Ga (0.1021, 0.1021, 0.1021)  -0.12
Ga (0.8979, 0.8979, 0.8979)  -0.12
Tm (0.3468, 0.3468, 0.3468)  -0.43
Tm (0.6532, 0.6532, 0.6532)  -0.43

***

(10)
Crystalline Ba2HgPbSe4 at its relaxed geometry, computed with GGA-PBE.

For the uncorrected formation energy, the calculation gives -1.104 eV per atom. The symmetry is P2/m, No. 10. The energy comes out at -3.829 eV per atom.

Lattice parameters (Å, degrees): 4.4940 7.7125 8.0118 68.61 90.00 90.00
Sites, in units of the cell vectors:
Se (0.0000, 0.7133, 0.7723)
Se (0.5000, 0.2599, 0.7405)
Se (0.0000, 0.2867, 0.2277)
Se (0.5000, 0.7401, 0.2595)
Ba (0.5000, 0.0000, 0.5000)
Ba (0.0000, 0.0000, 0.0000)
Pb (0.0000, 0.5000, 0.5000)
Hg (0.5000, 0.5000, 0.0000)

***

(11)
Crystalline BaCe2Pb at its relaxed geometry, computed with GGA-PBE.

The symmetry is R-3m, No. 166. The value obtained for the formation energy is 0.19 eV/atom. The energy comes out at -4.184 eV per atom.

Lattice parameters (Å, degrees): 3.5714 3.5714 12.7530 81.95 81.95 60.00
Each line ends with the local moment (μB).
Sites, in units of the cell vectors:
Ce (0.9052, 0.9052, 0.2844)  1.00
Ce (0.0948, 0.0948, 0.7156)  1.00
Ba (0.0000, 0.0000, 0.0000)  -0.02
Pb (0.5000, 0.5000, 0.5000)  -0.01

***

(12)
Crystalline CeGeSe at its relaxed geometry, computed with GGA-PBE.

For the uncorrected formation energy, the calculation gives -1.242 eV per atom. The symmetry is I4/mmm, No. 139. The energy comes out at -5.920 eV per atom.

Lattice parameters (Å, degrees): 4.0320 4.0320 9.0067 102.93 102.93 90.00
Each line ends with the local moment (μB).
Sites, in units of the cell vectors:
Ge (0.0000, 0.5000, 0.0000)  -0.01
Ge (0.5000, 0.0000, 0.0000)  -0.01
Se (0.1829, 0.1829, 0.3658)  -0.01
Se (0.8171, 0.8171, 0.6342)  -0.01
Ce (0.3622, 0.3622, 0.7245)  0.25
Ce (0.6378, 0.6378, 0.2755)  0.25